# RbCrGaI2 | the Alexandria database | GGA-PBE | optimized geometry
# ΔE_f (raw) = 124 meV/atom
# symmetry = P4/mmm (123)
# calculated volume = 216 Å³/f.u.
# DFT total energy = -16.10 eV/cell
# crystal system = tetragonal
# density of states at the Fermi level = 0.546 states/eV per atom
data_RbCrGaI2
_chemical_formula_sum 'Rb1 Cr1 Ga1 I2'
_symmetry_space_group_name_H-M 'P 1'
_symmetry_Int_Tables_number 1
_cell_length_a 5.6260
_cell_length_b 6.8099
_cell_length_c 5.6260
_cell_angle_alpha 90.00
_cell_angle_beta 90.00
_cell_angle_gamma 90.00
loop_
_symmetry_equiv_pos_as_xyz
'x,y,z'
loop_
_atom_site_label
_atom_site_fract_x
_atom_site_fract_y
_atom_site_fract_z
_atom_site_occupancy
Cr1 0.0000 0.0000 0.0000 1
I1 0.5000 0.0000 0.0000 1
I2 0.0000 0.0000 0.5000 1
Rb1 0.0000 0.5000 0.0000 1
Ga1 0.5000 0.5000 0.5000 1